TlCuF3: optimized geometry, PBE-GGA.

a b c (Å): 3.946 3.946 12.741
angles (deg): 90.00 90.00 120.00
Positions (direct):
F1 0.333 0.667 0.558
F2 0.000 0.000 0.250
F3 0.000 0.000 0.750
F4 0.667 0.333 0.058
F5 0.333 0.667 0.942
F6 0.667 0.333 0.442
Cu1 0.000 0.000 0.500
Cu2 0.000 0.000 0.000
Tl1 0.667 0.333 0.250
Tl2 0.333 0.667 0.750

Summary:
- Symmetry: P6_3/mmc
- Formation energy (no corrections): -6.3 eV/f.u.